(1)
This record from the Alexandria database describes a relaxed InCo2I crystal. The functional is PBE.

abc: 4.5800 4.5800 8.5479
angles: 74.46 74.46 90.00
Closest atoms and distances in Å follow each position.
Fractional positions:
Co  0.0575  0.6250  0.2500  2 I 2.43, 2 In 2.71
Co  0.8750  0.9425  0.7500  2 I 2.43, 2 In 2.71
I  0.0000  0.0000  0.0000  4 Co 2.43
In  0.5000  0.5000  0.0000  4 Co 2.71
I  0.7500  0.2500  0.5000  4 Co 2.43
Co  0.6925  0.1250  0.2500  2 I 2.43, 2 In 2.71
In  0.2500  0.7500  0.5000  4 Co 2.71
Co  0.3750  0.3075  0.7500  2 I 2.43, 2 In 2.71

Properties
Distance to the lowest polymorph of the same formula in kJ/mol of formula units: 0
Energy relative to the elements, uncorrected in kcal/mol of atoms: 16.71
Raw total energy in eV per atom: -3.901



(2)
This record from the Alexandria database describes a relaxed In3CoI crystal. The functional is PBE.

abc: 5.1187 5.1187 5.1187
angles: 90.00 90.00 90.00
Closest atoms and distances in Å follow each position.
Fractional positions:
In  0.0000  0.0000  0.5000  2 Co 2.56
In  0.5000  0.0000  0.0000  2 Co 2.56
Co  0.0000  0.0000  0.0000  6 In 2.56
I  0.5000  0.5000  0.5000  12 In 3.62
In  0.0000  0.5000  0.0000  2 Co 2.56

Properties
Energy relative to the elements, uncorrected in kcal/mol of atoms: -1.92
Raw total energy in eV per atom: -3.457



(3)
This record from the Alexandria database describes a relaxed La2InCoI crystal. The functional is PBE.

abc: 5.4488 5.4488 4.9458
angles: 90.00 90.00 90.00
Closest atoms and distances in Å follow each position.
Fractional positions:
La  0.0000  0.5000  0.0000  2 Co 2.72
I  0.5000  0.5000  0.5000  8 La 3.68, 4 In 3.85
Co  0.0000  0.0000  0.0000  2 In 2.47, 4 La 2.72
La  0.5000  0.0000  0.0000  2 Co 2.72
In  0.0000  0.0000  0.5000  2 Co 2.47

Properties
Energy relative to the elements, uncorrected in kcal/mol of atoms: -11.67
Raw total energy in eV per atom: -4.756



(4)
This record from the Alexandria database describes a relaxed MgIn2CoI crystal. The functional is PBE.

abc: 5.5915 5.6235 5.5915
angles: 90.00 90.00 90.00
Closest atoms and distances in Å follow each position.
Fractional positions:
Co  0.5000  0.5000  0.5000  4 I 3.95, 8 In 3.97
In  0.5000  0.0000  0.0000  2 Mg 2.80
Mg  0.0000  0.0000  0.0000  4 In 2.80, 2 I 2.81
In  0.0000  0.0000  0.5000  2 Mg 2.80
I  0.0000  0.5000  0.0000  2 Mg 2.81

Properties
Energy relative to the elements, uncorrected in kcal/mol of atoms: 19.26
Raw total energy in eV per atom: -2.310



Look up the raw total energy of the fourth one. -2.310 eV per atom